DyThHgPb PBE relaxed; D(E_F) = 2.8 states/eV per cell; energy relative to the elements = -306.7 meV per atom; DFT total energy = -17.3 eV for the cell shown
1.0
0.0000 3.8385 3.8385
3.8385 0.0000 3.8385
3.8385 3.8385 0.0000
Dy Th Hg Pb
1 1 1 1
Cartesian
0.0000 0.0000 0.0000 Dy
3.8385 3.8385 3.8385 Th
5.7577 5.7577 5.7577 Hg
1.9192 1.9192 1.9192 Pb